Below is a geometry-optimized YFe3B4O12 structure, with properties calculated at the PBE with a Hubbard U level.

Lattice parameters (Å, degrees): 6.1204 6.1204 6.1204 103.84 103.84 103.84
Last column: nearest neighbours and their distance in Å.
Atoms (fractional coordinates):
Y 0.5000 0.5000 0.5000  6 O 2.37
Fe 0.0494 0.9506 0.5000  6 O 2.00-2.06
Fe 0.9506 0.5000 0.0494  6 O 2.00-2.06
Fe 0.5000 0.0494 0.9506  6 O 2.00-2.06
B 0.4489 0.5511 0.0000  3 O 1.38
B 0.5511 0.0000 0.4489  3 O 1.38
B 0.0000 0.4489 0.5511  3 O 1.38
B 0.0000 0.0000 0.0000  3 O 1.38
O 0.2957 0.5294 0.1328  1 B 1.38
O 0.5294 0.1328 0.2957  1 B 1.38
O 0.7043 0.8672 0.4706  1 B 1.38
O 0.1328 0.2957 0.5294  1 B 1.38
O 0.4706 0.7043 0.8672  1 B 1.38
O 0.8672 0.4706 0.7043  1 B 1.38
O 0.8564 0.1436 0.0000  1 B 1.38
O 0.1436 0.0000 0.8564  1 B 1.38
O 0.0000 0.8564 0.1436  1 B 1.38
O 0.5923 0.4077 0.0000  1 B 1.38
O 0.4077 0.0000 0.5923  1 B 1.38
O 0.0000 0.5923 0.4077  1 B 1.38

Output
The value obtained for the total magnetization is 15.0 μB/f.u. The calculation puts the total DFT energy (no corrections) at -154.41 eV/f.u.